A relaxed structure of KNpSbO6, computed with PBE.

Cell lengths 5.5174, 5.5174, 12.0027 Å; angles 90.00, 90.00, 120.00 degrees
Space group P-31c (No. 163)
Symmetry-distinct sites (fractional):
K 0.0000 0.0000 0.0000 [2 per cell]
Np 0.3333 0.6667 0.2500 [2 per cell]
Sb 0.3333 0.6667 0.7500 [2 per cell]
O 0.0100 0.3797 0.6571 [12 per cell]

magnetization	1.0	μB per formula unit
theoretical density	5.2	g/cm3
V	316.4	Å³/cell
final energy	-132.47	eV per cell
energy relative to the elements, uncorrected	-2036	meV per atom